[1]
Entry from the Alexandria database: crystalline Mg3VFe at its relaxed geometry (GGA-PBE). Values from VASP.

Cell and atoms, written as Quantum ESPRESSO input:
```
&SYSTEM
  ibrav = 0, nat = 5, ntyp = 3
/
ATOMIC_SPECIES
Mg 24.30 Mg.upf
Fe 55.84 Fe.upf
V 50.94 V.upf
CELL_PARAMETERS angstrom
-3.859 -2.671 0.887
2.779 -3.375 1.923
-0.449 2.069 4.281
ATOMIC_POSITIONS crystal
Mg 0.000 0.500 0.000
Fe 0.000 0.000 0.000
Mg 0.000 0.000 0.500
V 0.500 0.500 0.500
Mg 0.500 0.000 0.000
```

Output
Magnetization: 1.003 μB per atom
Mass density: 2.7 g/cm3
Energy of formation: 0.96 eV per atom
E: -3.518 eV per atom
Symmetry: Pm-3m, No. 221
E above lowest polymorph: 0.0 meV/atom

=====

[2]
Entry from the Alexandria database: crystalline Mg3VFe at its relaxed geometry (GGA-PBE). Values from VASP.

Cell and atoms, written as Quantum ESPRESSO input:
```
&SYSTEM
  ibrav = 0, nat = 5, ntyp = 3
/
ATOMIC_SPECIES
Mg 24.30 Mg.upf
V 50.94 V.upf
Fe 55.84 Fe.upf
CELL_PARAMETERS angstrom
5.029 0.000 0.000
0.000 5.029 0.000
0.000 0.000 5.029
ATOMIC_POSITIONS crystal
Mg 0.000 0.000 0.500
Mg 0.500 0.000 0.000
V 0.000 0.000 0.000
Mg 0.000 0.500 0.000
Fe 0.500 0.500 0.500
```

Output
Magnetization: 1.452 μB per atom
Mass density: 2.3 g/cm3
Energy of formation: 1.36 eV per atom
E: -3.113 eV per atom
Symmetry: Pm-3m, No. 221
E above lowest polymorph: 405.1 meV/atom

=====

[3]
Entry from the Alexandria database: crystalline MgFe2W at its relaxed geometry (GGA-PBE). Values from VASP.

Cell and atoms, written as Quantum ESPRESSO input:
```
&SYSTEM
  ibrav = 0, nat = 8, ntyp = 3
/
ATOMIC_SPECIES
Fe 55.84 Fe.upf
W 183.84 W.upf
Mg 24.30 Mg.upf
CELL_PARAMETERS angstrom
6.663 0.000 0.000
0.000 6.663 0.000
3.332 3.332 2.721
ATOMIC_POSITIONS crystal
Fe 0.875 0.910 0.750
W 0.750 0.250 0.500
Mg 0.500 0.500 0.000
Fe 0.375 0.340 0.750
Fe 0.090 0.625 0.250
W 0.000 0.000 0.000
Mg 0.250 0.750 0.500
Fe 0.660 0.125 0.250
```

Output
Magnetization: 0.000 μB per atom
Mass density: 8.8 g/cm3
Energy of formation: 0.80 eV per atom
E: -7.071 eV per atom
Symmetry: I-42d, No. 122

=====

[4]
Entry from the Alexandria database: crystalline MgFeW4 at its relaxed geometry (GGA-PBE). Values from VASP.

Cell and atoms, written as Quantum ESPRESSO input:
```
&SYSTEM
  ibrav = 0, nat = 6, ntyp = 3
/
ATOMIC_SPECIES
W 183.84 W.upf
Fe 55.84 Fe.upf
Mg 24.30 Mg.upf
CELL_PARAMETERS angstrom
-1.045 2.215 4.677
-4.950 1.361 1.229
-2.649 -2.713 3.673
ATOMIC_POSITIONS crystal
W 0.375 0.375 0.375
W 0.375 0.375 0.876
W 0.375 0.876 0.375
Fe 0.750 0.750 0.750
Mg 0.000 0.000 0.000
W 0.876 0.375 0.375
```

Output
Magnetization: 0.358 μB per atom
Mass density: 13.0 g/cm3
Energy of formation: 0.60 eV per atom
E: -9.708 eV per atom
Symmetry: F-43m, No. 216

=====

Which formula does entry 3 have? MgFe2W